(1)
Ta | Alexandria via LeMat-Bulk | PBE-GGA | relaxed; D(E_F) = 1.91 states/eV/cell; crystal system = tetragonal; formation enthalpy at 0 K = 17.45 kcal/mol of atoms
1.0
3.9918 0.0022 0.0000
-3.0008 2.6325 0.0000
-0.4955 -1.3174 3.7355
Ta
2
Cartesian
2.9939 0.0017 0.9339 Ta
-2.4983 1.3157 2.8016 Ta

(2)
MgTlSn | Alexandria via LeMat-Bulk | PBE-GGA | relaxed; D(E_F) = 2.21 states/eV/cell; crystal system = monoclinic; formation enthalpy at 0 K = -1.29 kcal/mol of atoms
1.0
3.8521 0.0128 -0.1012
-0.0128 3.8521 -0.1012
0.2848 0.2867 10.9980
Mg Sn Tl
2 2 2
Cartesian
2.9306 2.9502 0.7840 Mg
1.0572 1.0643 2.5712 Mg
1.2525 1.2609 10.4637 Sn
3.0071 3.0271 3.8919 Sn
1.1381 1.1457 6.0677 Tl
3.1131 3.1339 8.2879 Tl

(3)
Cu2SiAs | Alexandria via LeMat-Bulk | PBE-GGA | relaxed; D(E_F) = 0.84 states/eV/cell; formation energy from raw total energies = 0.15 eV/atom; crystal system = trigonal
1.0
7.7415 -0.0303 -0.0179
7.1812 2.8917 -0.0179
7.1812 1.3770 2.5428
Cu Si As
2 1 1
Cartesian
22.0081 4.2199 2.4961 Cu
11.1479 2.1375 1.2644 Cu
5.5260 1.0596 0.6267 Si
16.5780 3.1787 1.8802 As

(4)
Ho3ZnCu8 | Alexandria via LeMat-Bulk | PBE-GGA | relaxed; D(E_F) = 7.36 states/eV/cell; crystal system = trigonal; formation enthalpy at 0 K = -4.76 kcal/mol of atoms
1.0
-1.8376 -2.8623 -3.8411
2.5163 -4.2161 -1.4886
-4.1753 -6.9333 3.7373
Cu Zn Ho
8 1 3
Cartesian
-3.4705 -9.2773 -1.7063 Cu
0.7873 -6.5279 -2.3654 Cu
-3.4570 -11.3759 -0.1489 Cu
-1.2992 -9.9525 -0.5331 Cu
-2.2156 -11.3799 -2.4487 Cu
-1.6836 -4.3441 0.6159 Cu
-1.4294 -5.8386 -3.5632 Cu
-0.4938 -4.3813 -1.6075 Cu
-1.0500 -8.8748 -3.1642 Zn
-3.3391 -8.6588 1.1965 Ho
-1.6602 -6.9143 -0.9065 Ho
0.5631 -7.1986 -5.1849 Ho

(5)
Ni3Br | Alexandria via LeMat-Bulk | PBE-GGA | relaxed; D(E_F) = 10.59 states/eV/cell; formation energy from raw total energies = 0.42 eV/atom; crystal system = orthorhombic
1.0
0.9372 5.3620 1.4075
-2.1993 -2.0353 4.7573
3.6696 -0.9769 1.2785
Ni Br
6 2
Cartesian
-0.6335 1.3135 5.9616 Ni
3.4324 4.0232 2.6408 Ni
0.1929 -0.8651 1.9246 Ni
-1.0249 -1.6734 4.8024 Ni
3.0410 1.0363 1.4816 Ni
2.2145 3.2149 5.5186 Ni
2.5678 1.9840 3.5642 Br
-0.1603 0.3658 3.8790 Br

(6)
CsZnP2Se | Alexandria via LeMat-Bulk | PBE-GGA | relaxed; D(E_F) = 1.35 states/eV/cell; formation energy from raw total energies = -0.35 eV/atom; crystal system = monoclinic
1.0
-4.6836 -2.4683 -0.0255
1.3876 -2.6104 -2.1687
8.4410 -6.9908 13.8154
Cs P Zn Se
2 4 2 2
Cartesian
-0.1937 -3.9625 4.6456 Cs
4.7206 -8.7631 10.4690 Cs
6.3715 -6.0869 8.3039 P
0.9855 -2.9033 1.0258 P
1.4572 -1.2862 2.4805 P
4.5122 -5.0935 9.0179 P
-0.2934 -2.1094 -0.7480 Zn
3.2333 -4.2996 7.2440 Zn
3.2894 -4.9709 4.9886 Se
6.8161 -7.1611 12.9807 Se